VASP calculation (PBE with a Hubbard U) on an optimized crystal structure of LiCo2F6.

E_tot = -4.78 eV per atom
crystal system = trigonal

Unit cell a=5.1709 b=5.1709 c=5.6261 alpha=62.64 beta=62.64 gamma=60.00
With the nearest neighbours (Å) after each atom.
Positions (direct):
1 F 0.4199 0.6588 0.8357  2 Co 1.94-2.13, 1 Li 1.97
2 F 0.6588 0.0855 0.8357  2 Co 1.94-2.13, 1 Li 1.97
3 F 0.8678 0.5422 0.3730  2 Co 1.94-2.03, 1 Li 2.17
4 F 0.0855 0.4199 0.8357  2 Co 1.94-2.13, 1 Li 1.97
5 F 0.5422 0.2170 0.3730  2 Co 1.94-2.03, 1 Li 2.17
6 F 0.2170 0.8678 0.3730  2 Co 1.94-2.03, 1 Li 2.17
7 Li 0.7858 0.7858 0.6427  6 F 1.97-2.17
8 Co 0.2819 0.2819 0.1542  6 F 2.03-2.13
9 Co 0.4754 0.4754 0.5739  6 F 1.94